1.
An optimized crystal structure of Pa2Ag4Te5. Source: Alexandria via LeMat-Bulk, functional PBE.

Summary:
As for the density: 7.8 g cm⁻³. The calculated volume is 29.49 Å³/atom. The calculation puts the energy relative to the elements, uncorrected at -258 meV/atom.

Cell: 18.9402 18.9402 18.9402 Å, 13.55 13.55 13.55°
Closest atoms and distances in Å follow each position.
Positions (direct):
Pa: 0.1383 0.1383 0.1383  6 Te 3.03-3.16
Pa: 0.8617 0.8617 0.8617  6 Te 3.03-3.16
Ag: 0.3154 0.3154 0.3154  4 Te 2.75-2.99
Ag: 0.4168 0.4168 0.4168  4 Te 2.72-2.87
Ag: 0.5832 0.5832 0.5832  4 Te 2.72-2.87
Ag: 0.6846 0.6846 0.6846  4 Te 2.75-2.99
Te: 0.2275 0.2275 0.2275  3 Ag 2.87, 3 Pa 3.16
Te: 0.3684 0.3684 0.3684  5 Ag 2.72-2.99
Te: 0.5000 0.5000 0.5000  6 Pa 3.03
Te: 0.6316 0.6316 0.6316  5 Ag 2.72-2.99
Te: 0.7725 0.7725 0.7725  3 Ag 2.87, 3 Pa 3.16

***

2.
An optimized crystal structure of CdH3Pd6. Source: Alexandria via LeMat-Bulk, functional PBE.

Summary:
As for the total energy: -43.7 eV for the cell shown. As for the density: 10.3 g cm⁻³. The calculated volume is 12.12 Å³/atom.

Cell: 5.0207 5.0259 5.0518 Å, 98.28 100.50 100.39°
Closest atoms and distances in Å follow each position.
Positions (direct):
Cd: 0.0000 0.0000 0.0000  1 H 2.52
H: 0.0219 0.7179 0.5522  3 Pd 1.77-1.89
H: 0.4726 0.5994 0.1593  4 Pd 1.79-1.84
H: 0.5094 0.4550 0.5962  3 Pd 1.76-1.82
Pd: 0.1404 0.5644 0.2706  2 H 1.77-1.84
Pd: 0.2863 0.1332 0.5630  1 H 1.76
Pd: 0.4257 0.7157 0.8396  2 H 1.79-1.82
Pd: 0.5726 0.2702 0.1305  1 H 1.81
Pd: 0.7199 0.8636 0.4248  2 H 1.84-1.85
Pd: 0.8603 0.4215 0.7031  2 H 1.79-1.89

***

3.
An optimized crystal structure of Nd2Ga3NiPt4. Source: Alexandria via LeMat-Bulk, functional PBE.

Summary:
As for the total energy: -57.3 eV for the cell shown. As for the density: 11.8 g cm⁻³. The calculated volume is 18.88 Å³/atom.

Cell: 4.1562 4.1562 10.9279 Å, 90.00 90.00 90.00°
Closest atoms and distances in Å follow each position.
Positions (direct):
Nd: 0.0000 0.5000 0.2398  8 Pt 3.15-3.52, 6 Ga 3.24-3.34, 2 Ni 3.34
Nd: 0.5000 0.0000 0.7602  8 Pt 3.15-3.52, 6 Ga 3.24-3.34, 2 Ni 3.34
Ga: 0.0000 0.0000 0.0000  4 Pt 2.56
Ga: 0.0000 0.5000 0.6345  5 Pt 2.49-2.55
Ga: 0.5000 0.0000 0.3655  5 Pt 2.49-2.55
Ni: 0.5000 0.5000 0.0000  4 Pt 2.56
Pt: 0.0000 0.0000 0.5000  4 Ga 2.55
Pt: 0.0000 0.5000 0.8628  3 Ga 2.49-2.56, 2 Ni 2.56
Pt: 0.5000 0.0000 0.1372  3 Ga 2.49-2.56, 2 Ni 2.56
Pt: 0.5000 0.5000 0.5000  4 Ga 2.55

***

4.
An optimized crystal structure of ErGe3. Source: Alexandria via LeMat-Bulk, functional PBE.

Summary:
As for the total energy: -19.7 eV for the cell shown. As for the density: 8.0 g cm⁻³. The calculated volume is 20.08 Å³/atom.

Cell: 5.6421 5.6421 5.6421 Å, 137.74 137.74 61.29°
Closest atoms and distances in Å follow each position.
Positions (direct):
Er: 0.0000 0.0000 0.0000  12 Ge 2.88-3.17
Ge: 0.2500 0.7500 0.5000  8 Ge 2.88-3.17, 4 Er 3.17
Ge: 0.5000 0.5000 0.0000  4 Er 2.88, 8 Ge 3.17
Ge: 0.7500 0.2500 0.5000  8 Ge 2.88-3.17, 4 Er 3.17

***

5.
An optimized crystal structure of CeThAlIn. Source: Alexandria via LeMat-Bulk, functional PBE.

Summary:
As for the density: 7.8 g cm⁻³. The calculation puts the energy relative to the lowest polymorph listed for this composition at 299.9 meV/atom. The calculated volume is 27.37 Å³/atom.

Cell: 5.6609 6.1555 6.1555 Å, 30.69 90.00 90.00°
Closest atoms and distances in Å follow each position.
Positions (direct):
Ce: 0.0000 0.0000 0.0000  1 Th 2.98, 2 Al 3.16, 2 Ce 3.26, 2 In 3.32
Th: 0.0000 0.7494 0.7494  1 Ce 2.98, 2 Al 3.24, 2 Th 3.26
Al: 0.5000 0.8820 0.8820  3 In 3.14-3.23, 2 Ce 3.16, 2 Th 3.24, 2 Al 3.26
In: 0.5000 0.1466 0.1466  3 Al 3.14-3.23, 2 In 3.26, 2 Ce 3.32, 4 Th 3.49

***

6.
An optimized crystal structure of LiCa3. Source: Alexandria via LeMat-Bulk, functional PBE.

Summary:
As for the density: 1.4 g cm⁻³. The calculation puts the energy relative to the lowest polymorph listed for this composition at 27.7 meV/atom. The calculated volume is 37.35 Å³/atom.

Cell: 5.8237 5.8237 4.4045 Å, 90.00 90.00 90.19°
Closest atoms and distances in Å follow each position.
Positions (direct):
Li: 0.0000 0.0000 0.0000  8 Ca 3.65
Ca: 0.0000 0.5000 0.5000  4 Li 3.65, 4 Ca 3.65
Ca: 0.5000 0.0000 0.5000  4 Li 3.65, 4 Ca 3.65
Ca: 0.5000 0.5000 0.0000  8 Ca 3.65

***

7.
An optimized crystal structure of LiZnSnRu2. Source: Alexandria via LeMat-Bulk, functional PBE.

Summary:
As for the total energy: -22.6 eV for the cell shown. As for the density: 8.6 g cm⁻³. The calculated volume is 15.21 Å³/atom.

Cell: 4.3344 4.3344 4.0488 Å, 90.00 90.00 90.00°
Closest atoms and distances in Å follow each position.
Positions (direct):
Li: 0.0000 0.0000 0.0000  2 Zn 2.02, 4 Ru 2.17
Zn: 0.0000 0.0000 0.5000  2 Li 2.02
Sn: 0.5000 0.5000 0.5000  8 Ru 2.97, 4 Zn 3.06
Ru: 0.0000 0.5000 0.0000  2 Li 2.17
Ru: 0.5000 0.0000 0.0000  2 Li 2.17

***

8.
An optimized crystal structure of EuY3. Source: Alexandria via LeMat-Bulk, functional PBE.

Summary:
As for the density: 5.2 g cm⁻³. The calculation puts the energy relative to the lowest polymorph listed for this composition at 33.8 meV/atom. The calculated volume is 33.70 Å³/atom.

Cell: 5.1274 5.1274 5.1274 Å, 90.00 90.00 90.00°
Closest atoms and distances in Å follow each position.
Positions (direct):
Eu: 0.0000 0.0000 0.0000  12 Y 3.63
Y: 0.0000 0.5000 0.5000  4 Eu 3.63, 8 Y 3.63
Y: 0.5000 0.0000 0.5000  4 Eu 3.63, 8 Y 3.63
Y: 0.5000 0.5000 0.0000  4 Eu 3.63, 8 Y 3.63